Cr2O3: optimized geometry, PBE+U.

Geometry as POSCAR:
```
Cr2O3
1.0
3.007 0.000 0.000
0.000 5.028 1.115
0.000 1.906 7.911
Cr O
4 6
Direct
0.750 0.734 0.533
0.250 0.005 0.845
0.750 0.995 0.155
0.250 0.266 0.467
0.250 0.202 0.005
0.250 0.842 0.649
0.750 0.798 0.995
0.750 0.295 0.642
0.750 0.158 0.351
0.250 0.705 0.358
```

Properties
electronic total energy = -7.795 eV/atom
density of states at the Fermi level = 0.00 states/eV/cell